VASP calculation (PBE-GGA) on BeAgP2 after structural relaxation.

Cell and atoms, written as CIF:
```
data_BeAgP2
_chemical_formula_sum 'Be2 Ag2 P4'
_cell_length_a 4.8722
_cell_length_b 6.9831
_cell_length_c 3.5272
_cell_angle_alpha 90.00
_cell_angle_beta 90.00
_cell_angle_gamma 90.00
_symmetry_space_group_name_H-M 'C m m m'
_symmetry_Int_Tables_number 65
_symmetry_space_group_name_Hall '-C 2 2'
loop_
_atom_site_label
_atom_site_type_symbol
_atom_site_fract_x
_atom_site_fract_y
_atom_site_fract_z
Be1 Be 0.0000 0.0000 0.0000
Ag1 Ag 0.0000 0.5000 0.0000
P1 P 0.2500 0.2500 0.5000
```

Summary:
ΔE_f, eV/atom: 0.548
Total magnetic moment, μB/cell: 0.0
Total energy, eV per cell: -30.4